Record 1
## Ca2Cu2B (GGA-PBE)

Data for Ca2Cu2B after structural relaxation.

energy of formation from the pure elements = 0.66 eV per atom
offset from the most stable computed form = 352 meV per atom
energy = -3.115 eV per atom
density = 3.27 g/cm3
total magnetic moment = 0.000 μB per cell
DOS at the Fermi energy = 3.24 states/eV/f.u.

extended XYZ file:
```
10
Lattice="7.547 0.000 0.000 0.000 7.547 0.000 0.000 0.000 3.886" Properties=species:S:1:pos:R:3 pbc="T T T"
Ca 1.359 2.414 0.000
Ca 2.414 6.188 0.000
Ca 5.133 1.359 0.000
Ca 6.188 5.133 0.000
Cu 0.855 4.628 1.943
Cu 2.919 0.855 1.943
Cu 4.628 6.693 1.943
Cu 6.693 2.919 1.943
B 0.000 0.000 0.000
B 3.774 3.774 0.000
```

---

Record 2
## Pm4Nd8Pu (GGA-PBE)

Data for Pm4Nd8Pu after structural relaxation.

energy of formation from the pure elements = 0.50 eV per atom
energy = -4.998 eV per atom
density = 6.61 g/cm3
total magnetic moment = 7.080 μB per cell
DOS at the Fermi energy = 22.45 states/eV/f.u.

extended XYZ file:
```
13
Lattice="5.614 3.241 4.554 -5.614 3.241 4.554 0.000 -6.482 4.554" Properties=species:S:1:pos:R:3 pbc="T T T"
Pm 0.000 0.000 0.000
Pm -2.807 -1.621 4.554
Pm -2.807 1.621 9.107
Pm 0.000 3.241 4.554
Nd 0.000 -3.335 5.641
Nd -2.888 1.667 5.641
Nd 0.000 0.000 3.308
Nd -2.888 -1.667 8.020
Nd 2.888 1.667 5.641
Nd 0.000 0.000 10.352
Nd 2.888 -1.667 8.020
Nd 0.000 3.335 8.020
Pu 0.000 0.000 6.830
```

---

- Which formula does entry 1 have?
  Ca2Cu2B

---

- Which formula does entry 2 have?
  Pm4Nd8Pu